A plane-wave DFT calculation with meta-GGA SCAN was carried out for a PBEsol-optimized structure of LaSb2TeBr.

Symmetry: No. 123
Electronic total energy, eV/cell: -172.74
Calculated density, g/cm3: 4.53

CIF file:
```
data_LaSb2TeBr
_cell_length_a 5.895
_cell_length_b 6.059
_cell_length_c 6.059
_cell_angle_alpha 90.00
_cell_angle_beta 90.00
_cell_angle_gamma 90.00
_symmetry_space_group_name_H-M 'P 1'
_symmetry_Int_Tables_number 1
loop_
_symmetry_equiv_pos_as_xyz
'x,y,z'
loop_
_atom_site_label
_atom_site_type_symbol
_atom_site_fract_x
_atom_site_fract_y
_atom_site_fract_z
Sb1 Sb 0.000 0.000 0.500
Sb2 Sb 0.000 0.500 0.000
Te1 Te 0.500 0.000 0.000
Br1 Br 0.500 0.500 0.500
La1 La 0.000 0.000 0.000
```

***

A plane-wave DFT calculation with meta-GGA SCAN was carried out for a PBEsol-optimized structure of La2ScBr.

Symmetry: No. 65
Offset from the most stable computed form, eV/atom: 0.006
Electronic total energy, eV/cell: -121.76
Calculated density, g/cm3: 6.21

CIF file:
```
data_La2ScBr
_cell_length_a 3.491
_cell_length_b 5.638
_cell_length_c 5.638
_cell_angle_alpha 104.13
_cell_angle_beta 90.00
_cell_angle_gamma 90.00
_symmetry_space_group_name_H-M 'P 1'
_symmetry_Int_Tables_number 1
loop_
_symmetry_equiv_pos_as_xyz
'x,y,z'
loop_
_atom_site_label
_atom_site_type_symbol
_atom_site_fract_x
_atom_site_fract_y
_atom_site_fract_z
Br1 Br 0.500 0.500 0.500
La1 La 0.000 0.500 0.000
La2 La 0.000 0.000 0.500
Sc1 Sc 0.500 0.000 0.000
```

***

A plane-wave DFT calculation with meta-GGA SCAN was carried out for a PBEsol-optimized structure of LaSc2Br.

Symmetry: No. 35
Offset from the most stable computed form, eV/atom: 0.000
Electronic total energy, eV/cell: -92.93
Calculated density, g/cm3: 4.96

CIF file:
```
data_LaSc2Br
_cell_length_a 3.373
_cell_length_b 3.373
_cell_length_c 9.784
_cell_angle_alpha 90.00
_cell_angle_beta 90.00
_cell_angle_gamma 111.90
_symmetry_space_group_name_H-M 'P 1'
_symmetry_Int_Tables_number 1
loop_
_symmetry_equiv_pos_as_xyz
'x,y,z'
loop_
_atom_site_label
_atom_site_type_symbol
_atom_site_fract_x
_atom_site_fract_y
_atom_site_fract_z
Br1 Br 0.000 0.000 0.526
La1 La 0.500 0.500 0.262
Sc1 Sc 0.000 0.000 0.977
Sc2 Sc 0.500 0.500 0.735
```

***

A plane-wave DFT calculation with meta-GGA SCAN was carried out for a PBEsol-optimized structure of LaSc2Br.

Symmetry: No. 139
Offset from the most stable computed form, eV/atom: 0.378
Electronic total energy, eV/cell: -91.42
Calculated density, g/cm3: 5.07

CIF file:
```
data_LaSc2Br
_cell_length_a 4.339
_cell_length_b 4.339
_cell_length_c 6.188
_cell_angle_alpha 110.52
_cell_angle_beta 110.52
_cell_angle_gamma 90.00
_symmetry_space_group_name_H-M 'P 1'
_symmetry_Int_Tables_number 1
loop_
_symmetry_equiv_pos_as_xyz
'x,y,z'
loop_
_atom_site_label
_atom_site_type_symbol
_atom_site_fract_x
_atom_site_fract_y
_atom_site_fract_z
Br1 Br 0.500 0.500 0.000
La1 La 0.000 0.000 0.000
Sc1 Sc 0.750 0.250 0.500
Sc2 Sc 0.250 0.750 0.500
```

***

A plane-wave DFT calculation with meta-GGA SCAN was carried out for a PBEsol-optimized structure of LaSc2Br.

Symmetry: No. 123
Offset from the most stable computed form, eV/atom: 0.175
Electronic total energy, eV/cell: -92.23
Calculated density, g/cm3: 5.12

CIF file:
```
data_LaSc2Br
_cell_length_a 3.367
_cell_length_b 3.367
_cell_length_c 8.826
_cell_angle_alpha 90.00
_cell_angle_beta 90.00
_cell_angle_gamma 90.00
_symmetry_space_group_name_H-M 'P 1'
_symmetry_Int_Tables_number 1
loop_
_symmetry_equiv_pos_as_xyz
'x,y,z'
loop_
_atom_site_label
_atom_site_type_symbol
_atom_site_fract_x
_atom_site_fract_y
_atom_site_fract_z
Br1 Br 0.500 0.500 0.000
La1 La 0.500 0.500 0.500
Sc1 Sc 0.000 0.000 0.773
Sc2 Sc 0.000 0.000 0.227
```

***

A plane-wave DFT calculation with meta-GGA SCAN was carried out for a PBEsol-optimized structure of La2ScBr.

Symmetry: No. 8
Offset from the most stable computed form, eV/atom: 0.000
Electronic total energy, eV/cell: -121.78
Calculated density, g/cm3: 6.13

CIF file:
```
data_La2ScBr
_cell_length_a 3.445
_cell_length_b 5.584
_cell_length_c 6.237
_cell_angle_alpha 108.12
_cell_angle_beta 106.03
_cell_angle_gamma 90.00
_symmetry_space_group_name_H-M 'P 1'
_symmetry_Int_Tables_number 1
loop_
_symmetry_equiv_pos_as_xyz
'x,y,z'
loop_
_atom_site_label
_atom_site_type_symbol
_atom_site_fract_x
_atom_site_fract_y
_atom_site_fract_z
Br1 Br 0.781 0.216 0.562
La1 La 0.019 0.062 0.039
La2 La 0.232 0.704 0.464
Sc1 Sc 0.467 0.519 0.935
```

***

A plane-wave DFT calculation with meta-GGA SCAN was carried out for a PBEsol-optimized structure of La3SeBr.

Symmetry: No. 221
Electronic total energy, eV/cell: -172.68
Calculated density, g/cm3: 5.34

CIF file:
```
data_La3SeBr
_cell_length_a 5.636
_cell_length_b 5.636
_cell_length_c 5.636
_cell_angle_alpha 90.00
_cell_angle_beta 90.00
_cell_angle_gamma 90.00
_symmetry_space_group_name_H-M 'P 1'
_symmetry_Int_Tables_number 1
loop_
_symmetry_equiv_pos_as_xyz
'x,y,z'
loop_
_atom_site_label
_atom_site_type_symbol
_atom_site_fract_x
_atom_site_fract_y
_atom_site_fract_z
Se1 Se 0.000 0.000 0.000
Br1 Br 0.500 0.500 0.500
La1 La 0.000 0.500 0.000
La2 La 0.000 0.000 0.500
La3 La 0.500 0.000 0.000
```

***

A plane-wave DFT calculation with meta-GGA SCAN was carried out for a PBEsol-optimized structure of LaZnSe2Br.

Symmetry: No. 123
Electronic total energy, eV/cell: -121.91
Calculated density, g/cm3: 6.11

CIF file:
```
data_LaZnSe2Br
_cell_length_a 4.851
_cell_length_b 4.977
_cell_length_c 4.977
_cell_angle_alpha 90.00
_cell_angle_beta 90.00
_cell_angle_gamma 90.00
_symmetry_space_group_name_H-M 'P 1'
_symmetry_Int_Tables_number 1
loop_
_symmetry_equiv_pos_as_xyz
'x,y,z'
loop_
_atom_site_label
_atom_site_type_symbol
_atom_site_fract_x
_atom_site_fract_y
_atom_site_fract_z
Zn1 Zn 0.000 0.000 0.000
Se1 Se 0.000 0.000 0.500
Se2 Se 0.000 0.500 0.000
Br1 Br 0.500 0.000 0.000
La1 La 0.500 0.500 0.500
```

***

A plane-wave DFT calculation with meta-GGA SCAN was carried out for a PBEsol-optimized structure of La2SiBr.

Symmetry: No. 123
Offset from the most stable computed form, eV/atom: 0.071
Electronic total energy, eV/cell: -120.58
Calculated density, g/cm3: 5.76

CIF file:
```
data_La2SiBr
_cell_length_a 4.299
_cell_length_b 4.299
_cell_length_c 6.015
_cell_angle_alpha 90.00
_cell_angle_beta 90.00
_cell_angle_gamma 90.00
_symmetry_space_group_name_H-M 'P 1'
_symmetry_Int_Tables_number 1
loop_
_symmetry_equiv_pos_as_xyz
'x,y,z'
loop_
_atom_site_label
_atom_site_type_symbol
_atom_site_fract_x
_atom_site_fract_y
_atom_site_fract_z
Si1 Si 0.500 0.500 0.000
Br1 Br 0.000 0.000 0.500
La1 La 0.000 0.000 0.000
La2 La 0.500 0.500 0.500
```

***

A plane-wave DFT calculation with meta-GGA SCAN was carried out for a PBEsol-optimized structure of LaSiBr2.

Symmetry: No. 47
Electronic total energy, eV/cell: -94.34
Calculated density, g/cm3: 5.51

CIF file:
```
data_LaSiBr2
_cell_length_a 3.536
_cell_length_b 4.176
_cell_length_c 6.669
_cell_angle_alpha 90.00
_cell_angle_beta 90.00
_cell_angle_gamma 90.00
_symmetry_space_group_name_H-M 'P 1'
_symmetry_Int_Tables_number 1
loop_
_symmetry_equiv_pos_as_xyz
'x,y,z'
loop_
_atom_site_label
_atom_site_type_symbol
_atom_site_fract_x
_atom_site_fract_y
_atom_site_fract_z
Br1 Br 0.000 0.000 0.763
Br2 Br 0.000 0.000 0.237
La1 La 0.500 0.500 0.000
Si1 Si 0.500 0.500 0.500
```

***

A plane-wave DFT calculation with meta-GGA SCAN was carried out for a PBEsol-optimized structure of La3SiBr3.

Symmetry: No. 214
Electronic total energy, eV/cell: -838.01
Calculated density, g/cm3: 5.17

CIF file:
```
data_La3SiBr3
_cell_length_a 10.451
_cell_length_b 10.451
_cell_length_c 10.451
_cell_angle_alpha 109.47
_cell_angle_beta 109.47
_cell_angle_gamma 109.47
_symmetry_space_group_name_H-M 'P 1'
_symmetry_Int_Tables_number 1
loop_
_symmetry_equiv_pos_as_xyz
'x,y,z'
loop_
_atom_site_label
_atom_site_type_symbol
_atom_site_fract_x
_atom_site_fract_y
_atom_site_fract_z
La1 La 0.508 0.517 0.258
La2 La 0.250 0.508 0.492
La3 La 0.758 0.508 0.017
La4 La 0.517 0.758 0.008
La5 La 0.742 0.758 0.750
La6 La 0.758 0.250 0.242
La7 La 0.992 0.250 0.008
La8 La 0.992 0.742 0.483
La9 La 0.508 0.992 0.750
La10 La 0.250 0.742 0.258
La11 La 0.983 0.992 0.242
La12 La 0.742 0.983 0.492
Si1 Si 0.750 0.000 0.000
Si2 Si 0.000 0.500 0.250
Si3 Si 0.750 0.750 0.250
Si4 Si 0.500 0.750 0.500
Br1 Br 0.005 0.750 0.995
Br2 Br 0.245 0.495 0.990
Br3 Br 0.010 0.005 0.755
Br4 Br 0.750 0.255 0.745
Br5 Br 0.255 0.245 0.250
Br6 Br 0.495 0.490 0.745
Br7 Br 0.255 0.010 0.505
Br8 Br 0.495 0.005 0.250
Br9 Br 0.245 0.750 0.755
Br10 Br 0.750 0.495 0.505
Br11 Br 0.490 0.245 0.995
Br12 Br 0.005 0.255 0.510
```

***

A plane-wave DFT calculation with meta-GGA SCAN was carried out for a PBEsol-optimized structure of La2SiBr.

Symmetry: No. 123
Offset from the most stable computed form, eV/atom: 0.250
Electronic total energy, eV/cell: -119.87
Calculated density, g/cm3: 6.37

CIF file:
```
data_La2SiBr
_cell_length_a 3.564
_cell_length_b 3.564
_cell_length_c 7.921
_cell_angle_alpha 90.00
_cell_angle_beta 90.00
_cell_angle_gamma 90.00
_symmetry_space_group_name_H-M 'P 1'
_symmetry_Int_Tables_number 1
loop_
_symmetry_equiv_pos_as_xyz
'x,y,z'
loop_
_atom_site_label
_atom_site_type_symbol
_atom_site_fract_x
_atom_site_fract_y
_atom_site_fract_z
Br1 Br 0.500 0.500 0.500
La1 La 0.000 0.000 0.772
La2 La 0.000 0.000 0.228
Si1 Si 0.500 0.500 0.000
```